(1)
# EuDyRuRh, relaxed, DFT PBE-GGA
data_EuDyRuRh
_cell_length_a 6.891
_cell_length_b 6.891
_cell_length_c 6.891
_cell_angle_alpha 90.00
_cell_angle_beta 90.00
_cell_angle_gamma 90.00
_space_group_name_H-M_alt 'F -4 3 m'
_space_group_IT_number 216
_space_group_name_Hall 'F -4 2 3'
loop_
_atom_site_label
_atom_site_type_symbol
_atom_site_fract_x
_atom_site_fract_y
_atom_site_fract_z
Eu1 Eu 0.000 0.000 0.000
Dy1 Dy 0.000 0.000 0.500
Ru1 Ru 0.250 0.250 0.250
Rh1 Rh 0.250 0.250 0.750
# Energy relative to the elements ... -271 meV per atom
# E_tot ... -8.147 eV per atom

***

(2)
# Tb8NdEr6, relaxed, DFT PBE-GGA
data_Tb8NdEr6
_cell_length_a 8.9989
_cell_length_b 8.9989
_cell_length_c 20.5721
_cell_angle_alpha 90.00
_cell_angle_beta 90.00
_cell_angle_gamma 120.00
_space_group_name_H-M_alt 'R -3'
_space_group_IT_number 148
_space_group_name_Hall '-R 3'
loop_
_atom_site_label
_atom_site_type_symbol
_atom_site_fract_x
_atom_site_fract_y
_atom_site_fract_z
Tb1 Tb 0.0000 0.0000 0.0767
Tb2 Tb 0.0810 0.5275 0.3080
Nd1 Nd 0.0000 0.0000 0.5000
Er1 Er 0.0549 0.8109 0.2066
# Energy relative to the elements ... 134 meV per atom
# E_tot ... -4.478 eV per atom